# 1
Material: BaTm2AsP
Method: DFT, PBE
State: relaxed

Output
Mass density in g/cm³: 6.504
Electronic total energy in eV for the cell shown: -26.1
Total moment in μB per formula unit: 0.04

Unit cell a=4.5466 b=4.5466 c=8.2869 alpha=90.00 beta=90.00 gamma=120.00
With the nearest neighbours (Å) after each atom.
Space group P3m1 (No. 156)
Asymmetric unit:
Ba: 0.0000 0.0000 0.0000  3 P 3.41, 3 As 3.45
Tm: 0.3333 0.6667 0.6170  3 As 2.79, 1 P 2.94
Tm: 0.6667 0.3333 0.3566  3 P 2.74
As: 0.6667 0.3333 0.7305  4 Tm 2.79-3.10
P: 0.3333 0.6667 0.2624  4 Tm 2.74-2.94

---

# 2
Material: BaPaAs
Method: DFT, PBE
State: relaxed

Output
Mass density in g/cm³: 7.584
Electronic total energy in eV for the cell shown: -63.2
Total moment in μB per formula unit: 1.96

Unit cell a=7.2951 b=7.2951 c=7.2951 alpha=90.00 beta=90.00 gamma=90.00
With the nearest neighbours (Å) after each atom.
Space group F-43m (No. 216)
Asymmetric unit:
Ba: 0.0000 0.0000 0.0000  4 As 3.16
Pa: 0.0000 0.0000 0.5000  4 As 3.16
As: 0.2500 0.2500 0.2500  4 Ba 3.16, 4 Pa 3.16

---

# 3
Material: BaSnAsPd2
Method: DFT, PBE
State: relaxed

Output
Mass density in g/cm³: 7.884
Electronic total energy in eV for the cell shown: -49.3

Unit cell a=4.5985 b=4.5985 c=10.8320 alpha=90.00 beta=90.00 gamma=90.00
With the nearest neighbours (Å) after each atom.
Space group P4/nmm (No. 129, origin choice 2)
Asymmetric unit:
Ba: 0.2500 0.2500 0.2329  8 Pd 3.41-3.52, 5 As 3.48-3.80, 4 Sn 3.70
Sn: 0.2500 0.7500 0.5000  4 Pd 2.77
As: 0.2500 0.2500 0.8822  5 Pd 2.60-2.63
Pd: 0.2500 0.2500 0.6421  1 As 2.60, 4 Sn 2.77
Pd: 0.2500 0.7500 0.0000  4 As 2.63

---

# 4
Material: BaAsPt
Method: DFT, PBE
State: relaxed

Output
Mass density in g/cm³: 7.015
Electronic total energy in eV for the cell shown: -46.5
Total moment in μB per formula unit: 0.01

Unit cell a=7.2790 b=7.2790 c=7.2790 alpha=90.00 beta=90.00 gamma=90.00
With the nearest neighbours (Å) after each atom.
Space group F-43m (No. 216)
Asymmetric unit:
Ba: 0.0000 0.0000 0.0000  4 Pt 3.15, 4 As 3.15
As: 0.2500 0.2500 0.7500  4 Ba 3.15
Pt: 0.2500 0.2500 0.2500  4 Ba 3.15

---

# 5
Material: BaPuAs
Method: DFT, PBE
State: relaxed

Output
Mass density in g/cm³: 8.418
Electronic total energy in eV for the cell shown: -84.2
Total moment in μB per formula unit: 6.85

Unit cell a=7.1139 b=7.1139 c=7.1139 alpha=90.00 beta=90.00 gamma=90.00
With the nearest neighbours (Å) after each atom.
Space group F-43m (No. 216)
Asymmetric unit:
Ba: 0.0000 0.0000 0.0000  4 Pu 3.08
Pu: 0.2500 0.2500 0.7500  4 Ba 3.08, 4 As 3.08
As: 0.0000 0.0000 0.5000  4 Pu 3.08

---

# 6
Material: BaReAs
Method: DFT, PBE
State: relaxed

Output
Mass density in g/cm³: 8.869
Electronic total energy in eV for the cell shown: -64.4
Total moment in μB per formula unit: 0.03

Unit cell a=6.6825 b=6.6825 c=6.6825 alpha=90.00 beta=90.00 gamma=90.00
With the nearest neighbours (Å) after each atom.
Space group F-43m (No. 216)
Asymmetric unit:
Ba: 0.0000 0.0000 0.0000  4 Re 2.89
Re: 0.2500 0.2500 0.7500  4 Ba 2.89, 4 As 2.89
As: 0.0000 0.0000 0.5000  4 Re 2.89

---

# 7
Material: Ba2TaAsS6
Method: DFT, PBE
State: relaxed

Output
Mass density in g/cm³: 4.967
Electronic total energy in eV for the cell shown: -113.4
Total moment in μB per formula unit: 0.00

Unit cell a=6.9407 b=7.0207 c=12.1035 alpha=90.00 beta=124.95 gamma=90.00
With the nearest neighbours (Å) after each atom.
Space group P2_1/c (No. 14)
Asymmetric unit:
Ba: 0.2387 0.0542 0.2510  8 S 3.14-3.38
Ta: 0.0000 0.0000 0.5000  6 S 2.46-2.47
As: 0.5000 0.0000 0.0000  6 S 2.57-2.58
S: 0.1714 0.2126 0.9698  1 Ta 2.47, 1 As 2.57
S: 0.2521 0.7030 0.9672  1 Ta 2.46, 1 As 2.58
S: 0.3055 0.5036 0.2440  1 Ta 2.46, 1 As 2.58

---

# 8
Material: Ba2TaAsS6
Method: DFT, PBE
State: relaxed

Output
Mass density in g/cm³: 4.973
Electronic total energy in eV for the cell shown: -225.6
Total moment in μB per formula unit: 0.00

Unit cell a=9.8840 b=9.8840 c=9.8840 alpha=90.00 beta=90.00 gamma=90.00
With the nearest neighbours (Å) after each atom.
Space group Fm-3m (No. 225)
Asymmetric unit:
Ba: 0.2500 0.2500 0.2500  12 S 3.49
Ta: 0.0000 0.0000 0.0000  6 S 2.44
As: 0.0000 0.0000 0.5000  6 S 2.51
S: 0.0000 0.0000 0.2465  1 Ta 2.44, 1 As 2.51

---

# 9
Material: Ba2TcAsS6
Method: DFT, PBE
State: relaxed

Output
Mass density in g/cm³: 4.551
Electronic total energy in eV for the cell shown: -206.8
Total moment in μB per formula unit: 2.29

Unit cell a=9.7751 b=9.7751 c=9.7751 alpha=90.00 beta=90.00 gamma=90.00
With the nearest neighbours (Å) after each atom.
Space group Fm-3m (No. 225)
Asymmetric unit:
Ba: 0.2500 0.2500 0.2500  12 S 3.46
Tc: 0.0000 0.0000 0.0000  6 S 2.40
As: 0.0000 0.0000 0.5000  6 S 2.48
S: 0.0000 0.0000 0.2458  1 Tc 2.40, 1 As 2.48

---

# 10
Material: Ba2SmAs2
Method: DFT, PBE
State: relaxed

Output
Mass density in g/cm³: 5.220
Electronic total energy in eV for the cell shown: -92.2
Total moment in μB per formula unit: 0.50

Unit cell a=4.7055 b=17.8791 c=8.6941 alpha=90.00 beta=90.00 gamma=90.00
With the nearest neighbours (Å) after each atom.
Space group Cmc2_1 (No. 36)
Asymmetric unit:
Ba: 0.0000 0.0542 0.0000  5 As 3.32-3.55, 2 Sm 3.68
Ba: 0.0000 0.2049 0.6661  5 As 3.30-3.60
Sm: 0.0000 0.4104 0.8655  4 As 2.87-2.95
As: 0.0000 0.1745 0.2913  2 Sm 2.87
As: 0.0000 0.4469 0.1942  2 Sm 2.93-2.95

---

# 11
Material: BaSm2As2
Method: DFT, PBE
State: relaxed

Output
Mass density in g/cm³: 5.863
Electronic total energy in eV for the cell shown: -103.4
Total moment in μB per formula unit: 0.82

Unit cell a=12.0472 b=4.5387 c=12.1815 alpha=90.00 beta=90.00 gamma=90.00
With the nearest neighbours (Å) after each atom.
Space group Pnma (No. 62)
Asymmetric unit:
Ba: 0.2349 0.2500 0.1490  4 As 3.31-3.39
Sm: 0.0376 0.7500 0.3773  4 As 2.89-2.97
Sm: 0.1040 0.7500 0.9137  4 As 2.88-2.97
As: 0.0355 0.7500 0.1401  4 Sm 2.88-2.90
As: 0.1564 0.2500 0.4719  4 Sm 2.92-2.97

---

# 12
Material: BaTbAs
Method: DFT, PBE
State: relaxed

Output
Mass density in g/cm³: 6.250
Electronic total energy in eV for the cell shown: -51.7
Total moment in μB per formula unit: 0.00

Unit cell a=7.3338 b=7.3338 c=7.3338 alpha=90.00 beta=90.00 gamma=90.00
With the nearest neighbours (Å) after each atom.
Space group F-43m (No. 216)
Asymmetric unit:
Ba: 0.0000 0.0000 0.0000  4 As 3.18
Tb: 0.0000 0.0000 0.5000  4 As 3.18
As: 0.2500 0.2500 0.2500  4 Ba 3.18, 4 Tb 3.18